# 1
VASP calculation (PBE-GGA) on a relaxed structure of LiS2ICl.

Cell: 4.7927 4.7927 4.4457 Å, 90.00 90.00 90.00°
Fractional positions:
S: 0.5000 0.0000 0.0000
S: 0.0000 0.5000 0.0000
Cl: 0.0000 0.0000 0.5000
Li: 0.0000 0.0000 0.0000
I: 0.5000 0.5000 0.5000

energy: -12.195 eV/f.u.
Fermi-level density of states: 4.98 states/eV/f.u.
M_tot: 0.00 μB/f.u.
space group: No. 123
formation energy (no corrections): 274 meV per atom
offset from the most stable computed form: 102.2 meV/atom

=====

# 2
VASP calculation (PBE-GGA) on a relaxed structure of LiSb2ICl.

Cell: 5.1477 5.1477 7.5942 Å, 90.00 90.00 90.00°
Fractional positions:
Li: 0.5000 0.5000 0.5000
Sb: 0.5000 0.0000 0.0000
Sb: 0.0000 0.5000 0.0000
Cl: 0.0000 0.0000 0.0000
I: 0.0000 0.0000 0.5000

energy: -12.072 eV/f.u.
Fermi-level density of states: 3.11 states/eV/f.u.
M_tot: 0.00 μB/f.u.
space group: No. 123
formation energy (no corrections): 297 meV per atom
offset from the most stable computed form: 148.6 meV/atom

=====

# 3
VASP calculation (PBE-GGA) on a relaxed structure of LiSbI2Cl.

Cell: 5.1647 5.1647 5.5171 Å, 90.00 90.00 90.00°
Fractional positions:
Li: 0.0000 0.0000 0.0000
I: 0.0000 0.5000 0.0000
I: 0.5000 0.0000 0.0000
Sb: 0.0000 0.0000 0.5000
Cl: 0.5000 0.5000 0.5000

energy: -10.859 eV/f.u.
Fermi-level density of states: 3.50 states/eV/f.u.
M_tot: 0.00 μB/f.u.
space group: No. 123
formation energy (no corrections): 25 meV per atom
offset from the most stable computed form: 0.0 meV/atom

=====

# 4
VASP calculation (PBE-GGA) on a relaxed structure of LiSbI2Cl.

Cell: 6.8347 6.8347 4.9158 Å, 90.00 90.00 90.00°
Fractional positions:
Cl: 0.0000 0.0000 0.0000
I: 0.5000 0.0000 0.0000
I: 0.0000 0.5000 0.0000
Li: 0.5000 0.5000 0.5000
Sb: 0.0000 0.0000 0.5000

energy: -10.265 eV/f.u.
Fermi-level density of states: 4.32 states/eV/f.u.
M_tot: 0.00 μB/f.u.
space group: No. 123
formation energy (no corrections): 144 meV per atom
offset from the most stable computed form: 118.9 meV/atom